(1)
Material: Pm4ZnSi3
Method: DFT, PBE
State: relaxed

Cell: 4.0039 4.3663 11.0768 Å, 90.00 90.00 90.00°
Space group Pmm2 (No. 25)
Asymmetric unit:
Pm 0.0000 0.0000 0.0000
Pm 0.0000 0.5000 0.4944
Pm 0.5000 0.0000 0.7131
Pm 0.5000 0.5000 0.2156
Zn 0.0000 0.5000 0.7898
Si 0.0000 0.0000 0.2841
Si 0.5000 0.0000 0.4240
Si 0.5000 0.5000 0.9306

Summary:
- ρ (g/cm³) = 6.26
- crystal system = orthorhombic


(2)
Material: Pm3Zn2Si4
Method: DFT, PBE
State: relaxed

Cell: 10.9780 4.1308 8.2327 Å, 90.00 99.75 90.00°
Space group C2/m (No. 12)
Asymmetric unit:
Pm 0.0000 0.0000 0.0000
Pm 0.1651 0.5000 0.6704
Zn 0.1105 0.5000 0.2791
Si 0.0590 0.0000 0.3926
Si 0.2196 0.5000 0.0535

Summary:
- ρ (g/cm³) = 6.12
- crystal system = monoclinic


(3)
Material: Pm4ZnSi2
Method: DFT, PBE
State: relaxed

Cell: 5.0067 5.0067 26.0351 Å, 90.00 90.00 120.00°
Space group R-3m (No. 166, hexagonal axes)
Asymmetric unit:
Pm 0.0000 0.0000 0.1210
Pm 0.0000 0.0000 0.2925
Zn 0.0000 0.0000 0.5000
Si 0.0000 0.0000 0.4076

Summary:
- ρ (g/cm³) = 6.18
- crystal system = trigonal


(4)
Material: Pm3ZnSi3
Method: DFT, PBE
State: relaxed

Cell: 4.0090 4.3233 18.2386 Å, 90.00 90.00 90.00°
Space group Imm2 (No. 44)
Asymmetric unit:
Pm 0.0000 0.0000 0.0000
Pm 0.0000 0.0000 0.3700
Pm 0.0000 0.5000 0.6901
Zn 0.0000 0.5000 0.1194
Si 0.0000 0.0000 0.5446
Si 0.0000 0.0000 0.8279
Si 0.0000 0.5000 0.2503

Summary:
- ρ (g/cm³) = 6.14
- crystal system = orthorhombic


(5)
Material: PmZn2Si2
Method: DFT, PBE
State: relaxed

Cell: 4.0963 4.0963 10.8206 Å, 90.00 90.00 90.00°
Space group I4/mmm (No. 139)
Asymmetric unit:
Pm 0.0000 0.0000 0.0000
Zn 0.0000 0.5000 0.2500
Si 0.0000 0.0000 0.3896

Summary:
- ρ (g/cm³) = 6.07
- crystal system = tetragonal


(6)
Material: Pm6Zn5Si
Method: DFT, PBE
State: relaxed

Cell: 5.1370 15.5055 7.3181 Å, 90.00 90.00 90.00°
Space group Cmmm (No. 65)
Asymmetric unit:
Pm 0.0000 0.0000 0.2407
Pm 0.0000 0.3371 0.2477
Zn 0.0000 0.1679 0.5000
Zn 0.0000 0.1761 0.0000
Zn 0.0000 0.5000 0.5000
Si 0.0000 0.5000 0.0000

Summary:
- ρ (g/cm³) = 6.98
- crystal system = orthorhombic


no.,ΔE_f (raw) (meV/atom)
1,-650
2,-689
3,-371
4,-696
5,-383
6,-365